CoSnSO | GGA+U | relaxed

```
32
Lattice="5.858 0.000 0.000 0.000 6.181 0.000 0.000 0.000 17.019" Properties=species:S:1:pos:R:3 pbc="T T T"
Sn 1.379 6.158 6.982
Sn 4.478 0.023 10.037
Sn 4.308 3.114 6.982
Sn 4.308 0.023 1.527
Sn 1.549 3.067 10.037
Sn 4.478 3.114 15.492
Sn 1.379 3.067 1.527
Sn 1.549 6.158 15.492
O 1.188 5.553 13.291
O 1.741 5.553 4.781
O 4.669 3.719 4.781
O 4.117 3.719 13.291
O 1.188 2.462 12.238
O 4.669 0.628 3.728
O 1.741 2.462 3.728
O 4.117 0.628 12.238
Co 3.761 5.493 4.828
Co 5.025 2.403 12.191
Co 5.025 5.493 13.337
Co 0.833 0.688 3.682
Co 2.096 3.778 13.337
Co 3.761 2.403 3.682
Co 2.096 0.688 12.191
Co 0.833 3.778 4.828
S 1.854 3.530 15.647
S 4.783 5.741 15.647
S 1.075 3.530 7.138
S 4.003 5.741 7.138
S 1.854 0.440 9.881
S 1.075 0.440 1.372
S 4.003 2.651 1.372
S 4.783 2.651 9.881
```

Computed properties:
- Electronic total energy: -5.216 eV per atom
- Volume: 616.2 Å³ per cell
- Spin magnetization: 24.0 μB/cell
- Symmetry: Pbca, No. 61